(1)
A plane-wave DFT calculation with GGA-PBE was carried out for a relaxed structure of MgHgSe2.

Calculated values
Electronic total energy = -2.94 eV/atom
Energy relative to the elements, uncorrected = -0.72 eV per atom

```
data_MgHgSe2
_chemical_formula_sum 'Mg2 Hg2 Se4'
_space_group_name_H-M_alt 'P 1'
_space_group_IT_number 1
_cell_length_a 4.3506
_cell_length_b 7.4555
_cell_length_c 7.5163
_cell_angle_alpha 99.79
_cell_angle_beta 106.79
_cell_angle_gamma 90.02
loop_
_space_group_symop_operation_xyz
'x,y,z'
loop_
_atom_site_label
_atom_site_type_symbol
_atom_site_fract_x
_atom_site_fract_y
_atom_site_fract_z
_atom_site_occupancy
Mg1 Mg 0.0000 0.0000 0.0000 1
Mg2 Mg 0.2545 0.7498 0.5056 1
Hg1 Hg 0.5033 0.5113 0.0062 1
Hg2 Hg 0.7507 0.2458 0.4995 1
Se1 Se 0.1838 0.0482 0.3656 1
Se2 Se 0.4362 0.8289 0.8722 1
Se3 Se 0.6963 0.5748 0.3894 1
Se4 Se 0.9411 0.3097 0.8816 1
```



(2)
A plane-wave DFT calculation with GGA-PBE was carried out for a relaxed structure of MgHg2Se.

Calculated values
Electronic total energy = -1.77 eV/atom
Energy relative to the elements, uncorrected = -0.35 eV per atom

```
data_MgHg2Se
_chemical_formula_sum 'Mg4 Hg8 Se4'
_space_group_name_H-M_alt 'F m m m'
_space_group_IT_number 69
_space_group_name_Hall '-F 2 2'
_cell_length_a 5.6361
_cell_length_b 5.6653
_cell_length_c 12.7509
_cell_angle_alpha 90.00
_cell_angle_beta 90.00
_cell_angle_gamma 90.00
loop_
_atom_site_label
_atom_site_type_symbol
_atom_site_fract_x
_atom_site_fract_y
_atom_site_fract_z
_atom_site_occupancy
Mg1 Mg 0.0000 0.0000 0.0000 1
Hg1 Hg 0.2500 0.0000 0.2500 1
Se1 Se 0.0000 0.0000 0.5000 1
```



(3)
A plane-wave DFT calculation with GGA-PBE was carried out for a relaxed structure of MgHg2Se.

Calculated values
Electronic total energy = -1.43 eV/atom
Energy relative to the elements, uncorrected = -0.01 eV per atom

```
data_MgHg2Se
_chemical_formula_sum 'Mg1 Hg2 Se1'
_space_group_name_H-M_alt 'P 4/m m m'
_space_group_IT_number 123
_space_group_name_Hall '-P 4 2'
_cell_length_a 3.3620
_cell_length_b 3.3620
_cell_length_c 8.0977
_cell_angle_alpha 90.00
_cell_angle_beta 90.00
_cell_angle_gamma 90.00
loop_
_atom_site_label
_atom_site_type_symbol
_atom_site_fract_x
_atom_site_fract_y
_atom_site_fract_z
_atom_site_occupancy
Mg1 Mg 0.0000 0.0000 0.0000 1
Hg1 Hg 0.5000 0.5000 0.2375 1
Se1 Se 0.0000 0.0000 0.5000 1
```



(4)
A plane-wave DFT calculation with GGA-PBE was carried out for a relaxed structure of MgHg2Se.

Calculated values
Electronic total energy = -1.52 eV/atom
Energy relative to the elements, uncorrected = -0.10 eV per atom

```
data_MgHg2Se
_chemical_formula_sum 'Mg1 Hg2 Se1'
_space_group_name_H-M_alt 'P 4/m m m'
_space_group_IT_number 123
_space_group_name_Hall '-P 4 2'
_cell_length_a 4.3710
_cell_length_b 4.3710
_cell_length_c 5.3927
_cell_angle_alpha 90.00
_cell_angle_beta 90.00
_cell_angle_gamma 90.00
loop_
_atom_site_label
_atom_site_type_symbol
_atom_site_fract_x
_atom_site_fract_y
_atom_site_fract_z
_atom_site_occupancy
Mg1 Mg 0.0000 0.0000 0.0000 1
Hg1 Hg 0.5000 0.5000 0.2521 1
Se1 Se 0.0000 0.0000 0.5000 1
```



Question: electronic total energy of number 1 (MgHgSe2)?
Answer: -2.94 eV/atom



Question: Number 3 is which compound?
Answer: MgHg2Se



Question: Which value of electronic total energy does entry 4 give?
Answer: -1.52 eV/atom